## Ti6CrO12 (PBE+U)

Data for Ti6CrO12 after structural relaxation.

Output
Total magnetic moment = 18.2 μB/cell
E_tot = -502.88 eV/cell

Cell: 9.0120 9.0120 8.2467 Å, 90.00 90.00 120.00°
Space group R-3 (No. 148, hexagonal axes)
Inequivalent atoms, fractional coordinates:
Ti  0.0449  0.7862  0.1454 x18
Cr  0.0000  0.0000  0.5000 x3
O  0.0262  0.8192  0.3834 x18
O  0.0315  0.8233  0.8872 x18